1.
ScCoB: optimized geometry, PBE-GGA.

For the theoretical density, the calculation gives 4.89 g cm⁻³. As for the crystal system: cubic. Its energy above the most stable polymorph in this dataset is 439 meV/atom. The calculation puts the total magnetization at 5.783 Bohr magnetons per cell. The value obtained for the volume is 12.99 Å³/atom.

It has space group F-43m (No. 216), with a = 5.382 Å, b = 5.382 Å, c = 5.382 Å, α = 90.00°, β = 90.00° and γ = 90.00°. The inequivalent atoms are Sc at (0.000, 0.000, 0.000), Co at (0.000, 0.000, 0.500) and B at (0.250, 0.250, 0.250).

2.
Sc2Co2B: optimized geometry, PBE-GGA.

For the theoretical density, the calculation gives 4.92 g cm⁻³. As for the crystal system: tetragonal. Its energy above the most stable polymorph in this dataset is 66 meV/atom. The calculation puts the total magnetization at 0.009 Bohr magnetons per cell. The value obtained for the volume is 14.75 Å³/atom.

It has space group I4/mmm (No. 139), with a = 3.132 Å, b = 3.132 Å, c = 15.036 Å, α = 90.00°, β = 90.00° and γ = 90.00°. The inequivalent atoms are Sc at (0.000, 0.000, 0.098), Co at (0.000, 0.500, 0.250) and B at (0.000, 0.000, 0.500).

3.
Sc2Co2B: optimized geometry, PBE-GGA.

For the theoretical density, the calculation gives 5.31 g cm⁻³. As for the crystal system: tetragonal. Its energy above the most stable polymorph in this dataset is 0 meV/atom. The calculation puts the total magnetization at 0.004 Bohr magnetons per cell. The value obtained for the volume is 13.67 Å³/atom.

It has space group I4/mmm (No. 139), with a = 4.654 Å, b = 4.654 Å, c = 6.311 Å, α = 90.00°, β = 90.00° and γ = 90.00°. The inequivalent atoms are Sc at (0.000, 0.500, 0.250), Co at (0.000, 0.000, 0.188) and B at (0.000, 0.000, 0.500).

4.
Sc2CoB: optimized geometry, PBE-GGA.

For the theoretical density, the calculation gives 5.07 g cm⁻³. As for the crystal system: cubic. The calculated total energy is -6.5364 eV per atom. The calculation puts the total magnetization at 0.001 Bohr magnetons per cell. The value obtained for the volume is 13.07 Å³/atom.

It has space group F-43m (No. 216), with a = 5.935 Å, b = 5.935 Å, c = 5.935 Å, α = 90.00°, β = 90.00° and γ = 90.00°. The inequivalent atoms are Sc at (0.000, 0.000, 0.000), Sc at (0.250, 0.250, 0.250), Co at (0.000, 0.000, 0.500) and B at (0.250, 0.250, 0.750).